DFT (SCAN) results for Cr2NiP at its PBEsol-relaxed geometry.

Calculated values
Formation energy from the elements   -0.107 eV per atom
Total magnetic moment   0.0 μB per cell
DOS at the Fermi energy   3.22 states/eV/cell
Calculated volume   43.5 Å³ per cell

```
data_Cr2NiP
_chemical_formula_sum 'Cr2 Ni1 P1'
_symmetry_space_group_name_H-M 'P 1 m 1'
_symmetry_Int_Tables_number 6
_symmetry_space_group_name_Hall 'P -2y'
_cell_length_a 2.597
_cell_length_b 3.683
_cell_length_c 4.702
_cell_angle_alpha 90.00
_cell_angle_beta 104.91
_cell_angle_gamma 90.00
loop_
_atom_site_label
_atom_site_fract_x
_atom_site_fract_y
_atom_site_fract_z
_atom_site_occupancy
Cr1 0.000 0.000 0.000 1
Cr2 0.326 0.500 0.715 1
Ni1 0.612 0.500 0.238 1
P1 0.727 0.000 0.493 1
```